No. 1
DFT (PBE) results for BaAcSb after structural relaxation.

Cell: 4.974 5.527 5.527 Å, 120.00 90.00 90.00°
Positions (direct):
Sb 0.087 0.000 0.000
Ac 0.214 0.333 0.667
Ba 0.699 0.667 0.333

Summary:
Spin magnetization: 0.00 μB/f.u.

---

No. 2
DFT (PBE) results for BaAcSb after structural relaxation.

Cell: 4.255 4.255 8.016 Å, 105.39 105.39 90.00°
Positions (direct):
Ba 0.033 0.033 0.066
Sb 0.680 0.680 0.360
Ac 0.287 0.287 0.573

Summary:
Spin magnetization: 0.00 μB/f.u.

---

No. 3
DFT (PBE) results for BaAcSb2 after structural relaxation.

Cell: 5.894 5.894 5.894 Å, 60.00 60.00 60.00°
Positions (direct):
Ac 0.000 0.000 0.000
Sb 0.750 0.750 0.750
Sb 0.250 0.250 0.250
Ba 0.500 0.500 0.500

Summary:
Spin magnetization: 0.00 μB/f.u.

---

No. 4
DFT (PBE) results for BaAcSb2 after structural relaxation.

Cell: 4.329 4.329 7.689 Å, 90.00 90.00 90.00°
Positions (direct):
Sb 0.000 0.000 0.770
Sb 0.000 0.000 0.230
Ac 0.500 0.500 0.000
Ba 0.500 0.500 0.500

Summary:
Spin magnetization: 0.00 μB/f.u.

---

No. 5
DFT (PBE) results for BaAcSb after structural relaxation.

Cell: 5.690 5.690 5.690 Å, 60.00 60.00 60.00°
Positions (direct):
Ba 0.500 0.500 0.500
Sb 0.250 0.250 0.250
Ac 0.000 0.000 0.000

Summary:
Spin magnetization: 0.00 μB/f.u.

---

No. 6
DFT (PBE) results for BaAc3Sb4 after structural relaxation.

Cell: 6.844 6.844 6.844 Å, 90.00 90.00 90.00°
Positions (direct):
Sb 0.000 0.500 0.000
Sb 0.500 0.500 0.500
Sb 0.000 0.000 0.500
Sb 0.500 0.000 0.000
Ac 0.500 0.000 0.500
Ac 0.500 0.500 0.000
Ac 0.000 0.500 0.500
Ba 0.000 0.000 0.000

Summary:
Spin magnetization: 0.00 μB/f.u.

---

No. 7
DFT (PBE) results for BaAcSb2 after structural relaxation.

Cell: 4.871 4.871 8.613 Å, 73.58 73.58 60.00°
Positions (direct):
Sb 0.756 0.756 0.732
Sb 0.244 0.244 0.268
Ac 0.500 0.500 0.500
Ba 0.000 0.000 0.000

Summary:
Spin magnetization: 0.00 μB/f.u.

---

No. 8
DFT (PBE) results for BaAc2Sb after structural relaxation.

Cell: 4.471 4.471 11.723 Å, 79.01 79.01 60.00°
Positions (direct):
Ac 0.274 0.274 0.179
Ac 0.726 0.726 0.821
Sb 0.000 0.000 0.000
Ba 0.500 0.500 0.500

Summary:
Spin magnetization: 0.00 μB/f.u.

---

Formation energy without anion corrections, respectively: -1.55 -1.92 -3.50 -3.69 -1.83 -8.70 -3.93 -1.70 eV/f.u..
E above lowest polymorph, respectively: 0.37 0.00 0.43 0.24 0.08 0.09 0.00 0.03 eV per formula unit.